one) Below is a geometry-optimized TcSnB4 structure, with properties calculated at the GGA-PBE level.

a = 2.9865 Å, b = 2.9865 Å, c = 8.6576 Å
α = 90.00°, β = 90.00°, γ = 120.00°
With the nearest neighbours (Å) after each atom.
Atoms (fractional coordinates):
1 B 0.6667 0.3333 0.3073  3 B 1.72
2 B 0.3333 0.6667 0.3073  3 B 1.72
3 B 0.6667 0.3333 0.6927  3 B 1.72
4 B 0.3333 0.6667 0.6927  3 B 1.72
5 Sn 0.0000 0.0000 0.0000  6 Sn 2.99, 12 B 3.17
6 Tc 0.0000 0.0000 0.5000  12 B 2.40

two) Below is a geometry-optimized TcSnB4 structure, with properties calculated at the GGA-PBE level.

a = 4.7719 Å, b = 4.7719 Å, c = 4.7719 Å
α = 142.43°, β = 111.39°, γ = 80.95°
With the nearest neighbours (Å) after each atom.
Atoms (fractional coordinates):
1 B 0.5833 0.2472 0.3361  3 B 1.76-1.79
2 B 0.0889 0.7528 0.3361  3 B 1.76-1.79
3 B 0.9111 0.2472 0.6639  3 B 1.76-1.79
4 B 0.4167 0.7528 0.6639  3 B 1.76-1.79
5 Sn 0.0000 0.0000 0.0000  12 B 2.55
6 Tc 0.5000 0.5000 0.0000  12 B 2.52-2.58

Here are the energies relative to the best structure, in meV per atom: one) 0; two) 204.